{"formula": "CuI3Br9", "functional": "PBE-GGA", "state": "relaxed", "cell": [[9.585, -5.563, 0.000], [9.585, 5.563, 0.000], [-8.484, 0.000, 10.706]], "species": ["Cu", "Cu", "I", "I", "I", "I", "I", "I", "Br", "Br", "Br", "Br", "Br", "Br", "Br", "Br", "Br", "Br", "Br", "Br", "Br", "Br", "Br", "Br", "Br", "Br"], "frac_coords": [[0.006, 0.994, 0.500], [0.994, 0.006, 0.000], [0.116, 0.491, 0.238], [0.261, 0.744, 0.756], [0.491, 0.116, 0.738], [0.518, 0.877, 0.269], [0.744, 0.261, 0.256], [0.877, 0.518, 0.769], [0.012, 0.160, 0.438], [0.030, 0.245, 0.175], [0.160, 0.012, 0.938], [0.194, 0.732, 0.349], [0.245, 0.030, 0.675], [0.280, 0.797, 0.158], [0.348, 0.502, 0.580], [0.502, 0.348, 0.080], [0.505, 0.660, 0.933], [0.505, 0.996, 0.503], [0.660, 0.505, 0.433], [0.732, 0.194, 0.849], [0.760, 0.972, 0.335], [0.797, 0.280, 0.658], [0.842, 0.993, 0.072], [0.972, 0.760, 0.835], [0.993, 0.842, 0.572], [0.996, 0.505, 0.003]], "total_magnetization_mub_per_cell": 2.043, "formation_energy_uncorrected_kj_per_mol_atoms": -6.0}


{"formula": "Cu2GePd2", "functional": "PBE-GGA", "state": "relaxed", "cell": [[6.473, 0.000, 0.000], [0.000, 6.473, 0.000], [0.000, 0.000, 3.675]], "species": ["Cu", "Cu", "Cu", "Cu", "Ge", "Ge", "Pd", "Pd", "Pd", "Pd"], "frac_coords": [[0.146, 0.354, 0.000], [0.354, 0.854, 0.000], [0.646, 0.146, 0.000], [0.854, 0.646, 0.000], [0.000, 0.000, 0.500], [0.500, 0.500, 0.500], [0.152, 0.652, 0.500], [0.348, 0.152, 0.500], [0.652, 0.848, 0.500], [0.848, 0.348, 0.500]], "de_polymorph_ev_per_atom": 0.064, "ef_kj_per_mol_atoms": -8.1, "total_magnetization_mub_per_cell": 0.000}